1) First-principles (GGA-PBE) data for a relaxed AsN2F crystal, as listed in the Alexandria database.

a = 5.248 Å, b = 5.248 Å, c = 7.622 Å
α = 90.00°, β = 90.00°, γ = 90.00°
Space group I-42d (No. 122)
Asymmetric unit:
As 0.000 0.000 0.000
N 0.160 0.250 0.125
F 0.000 0.000 0.500

Results
N(E_F): 0.173 states/eV/atom
volume: 13.12 Å³ per atom



2) First-principles (GGA-PBE) data for a relaxed AsN2F crystal, as listed in the Alexandria database.

a = 5.265 Å, b = 5.265 Å, c = 5.265 Å
α = 90.00°, β = 90.00°, γ = 90.00°
Space group Fm-3m (No. 225)
Asymmetric unit:
As 0.000 0.000 0.000
N 0.250 0.250 0.250
F 0.000 0.000 0.500

Results
N(E_F): 0.728 states/eV/atom
volume: 9.12 Å³ per atom



1) is preferred energetically. Next in line: 571 meV/atom higher.



1) First-principles (GGA-PBE) data for a relaxed NaAsN2F crystal, as listed in the Alexandria database.

a = 4.401 Å, b = 4.401 Å, c = 3.876 Å
α = 90.00°, β = 90.00°, γ = 90.00°
Space group P4/mmm (No. 123)
Asymmetric unit:
Na 0.000 0.000 0.000
As 0.500 0.500 0.500
N 0.000 0.500 0.000
F 0.000 0.000 0.500

Results
N(E_F): 0.111 states/eV/atom
volume: 15.01 Å³ per atom



2) First-principles (GGA-PBE) data for a relaxed NaAsN2F crystal, as listed in the Alexandria database.

a = 3.676 Å, b = 3.676 Å, c = 4.536 Å
α = 90.00°, β = 90.00°, γ = 90.00°
Space group P4/mmm (No. 123)
Asymmetric unit:
Na 0.000 0.000 0.000
As 0.500 0.500 0.500
N 0.000 0.500 0.500
F 0.500 0.500 0.000

Results
N(E_F): 0.260 states/eV/atom
volume: 12.26 Å³ per atom



2) is preferred energetically. Next in line: 1302 meV/atom higher.



1) First-principles (GGA-PBE) data for a relaxed AsPN2F crystal, as listed in the Alexandria database.

a = 3.701 Å, b = 3.701 Å, c = 3.689 Å
α = 90.00°, β = 90.00°, γ = 90.00°
Space group P4/mmm (No. 123)
Asymmetric unit:
As 0.000 0.000 0.000
P 0.500 0.500 0.500
N 0.000 0.500 0.500
F 0.500 0.500 0.000

Results
N(E_F): 0.235 states/eV/atom
volume: 10.10 Å³ per atom



2) First-principles (GGA-PBE) data for a relaxed AsPN2F crystal, as listed in the Alexandria database.

a = 3.888 Å, b = 3.888 Å, c = 3.797 Å
α = 90.00°, β = 90.00°, γ = 90.00°
Space group P4/mmm (No. 123)
Asymmetric unit:
As 0.000 0.000 0.000
P 0.500 0.500 0.500
N 0.000 0.500 0.000
F 0.000 0.000 0.500

Results
N(E_F): 0.385 states/eV/atom
volume: 11.48 Å³ per atom



1) is preferred energetically. Next in line: 416 meV/atom higher.